No. 1
Te3RuW | the Alexandria database | GGA-PBEsol | relaxed; uncorrected energy = -27.4 eV/cell; ΔE_f (raw) = 1429 meV/atom
1.0
5.035 0.000 0.000
0.000 5.035 0.000
0.000 0.000 5.035
Ru Te W
1 3 1
direct
0.000 0.000 0.000 Ru
0.000 0.500 0.000 Te
0.000 0.000 0.500 Te
0.500 0.000 0.000 Te
0.500 0.500 0.500 W



No. 2
Te2RuW | the Alexandria database | GGA-PBEsol | relaxed; uncorrected energy = -27.6 eV/cell; ΔE_f (raw) = 855 meV/atom
1.0
3.949 0.000 0.000
0.000 3.949 0.000
-1.975 -1.975 4.706
Ru Te W
1 2 1
direct
0.250 0.750 0.500 Ru
0.000 0.000 0.000 Te
0.750 0.250 0.500 Te
0.500 0.500 0.000 W



No. 3
Te2RuW | the Alexandria database | GGA-PBEsol | relaxed; uncorrected energy = -29.1 eV/cell; ΔE_f (raw) = 492 meV/atom
1.0
3.292 0.000 0.000
0.000 3.292 0.000
0.000 0.000 6.541
Ru Te W
1 2 1
direct
0.500 0.500 0.000 Ru
0.000 0.000 0.251 Te
0.000 0.000 0.749 Te
0.500 0.500 0.500 W